Entry 1:
SrSiRu | the Alexandria database | SCAN | PBEsol geometry; total DFT energy (no corrections) = -62.50 eV for the cell shown; formation energy without anion corrections = 1.540 eV per atom
1.0
0.0000 3.2754 3.2754
3.2754 0.0000 3.2754
3.2754 3.2754 0.0000
Sr Si Ru
1 1 1
Direct
0.0000 0.0000 0.0000 Sr
0.7500 0.7500 0.7500 Si
0.2500 0.2500 0.2500 Ru

---

Entry 2:
FeCoW | the Alexandria database | SCAN | PBEsol geometry; total DFT energy (no corrections) = -102.88 eV for the cell shown; energy of formation from the pure elements = 747 meV/atom; energy relative to the lowest polymorph listed for this composition = 1.79 eV per formula unit
1.0
0.0000 2.7425 2.7425
2.7425 0.0000 2.7425
2.7425 2.7425 0.0000
Fe Co W
1 1 1
Direct
0.0000 0.0000 0.0000 Fe
0.7500 0.7500 0.7500 Co
0.2500 0.2500 0.2500 W

---

Entry 3:
GePd | the Alexandria database | SCAN | PBEsol geometry; total DFT energy (no corrections) = -211.67 eV for the cell shown; energy of formation from the pure elements = -528 meV/atom
1.0
5.7446 0.0000 0.0000
0.0000 3.5345 0.0000
0.0000 0.0000 6.2187
Ge Pd
4 4
Direct
0.1843 0.2500 0.0790 Ge
0.3157 0.7500 0.5790 Ge
0.6843 0.2500 0.4210 Ge
0.8157 0.7500 0.9210 Ge
0.0053 0.2500 0.6889 Pd
0.4947 0.7500 0.1889 Pd
0.5053 0.2500 0.8111 Pd
0.9947 0.7500 0.3111 Pd

---

Entry 4:
LiTaW2 | the Alexandria database | SCAN | PBEsol geometry; total DFT energy (no corrections) = -206.53 eV for the cell shown; energy of formation from the pure elements = 455 meV/atom; energy relative to the lowest polymorph listed for this composition = 0.00 eV per formula unit
1.0
2.5928 0.0000 0.0000
0.0000 4.4719 0.0000
0.0000 0.0000 5.4690
Li Ta W
1 1 2
Direct
0.0000 0.0000 0.0000 Li
0.0000 0.0000 0.5000 Ta
0.5000 0.5000 0.2468 W
0.5000 0.5000 0.7532 W

---

Entry 5:
KAsW2 | the Alexandria database | SCAN | PBEsol geometry; total DFT energy (no corrections) = -165.35 eV for the cell shown; energy of formation from the pure elements = 637 meV/atom
1.0
2.7036 0.0000 0.0000
0.0000 4.1042 0.0000
0.0000 0.0000 7.7029
K As W
1 1 2
Direct
0.0000 0.0000 0.0000 K
0.5000 0.5000 0.7002 As
0.0000 0.0000 0.5169 W
0.5000 0.5000 0.3601 W

---

Entry 6:
CoOs | the Alexandria database | SCAN | PBEsol geometry; total DFT energy (no corrections) = -86.31 eV for the cell shown; energy of formation from the pure elements = 1439 meV/atom
1.0
0.0000 2.5670 2.5670
2.5670 0.0000 2.5670
2.5670 2.5670 0.0000
Co Os
1 1
Direct
0.0000 0.0000 0.0000 Co
0.7500 0.7500 0.7500 Os

---

Entry 7:
Y3CrTe | the Alexandria database | SCAN | PBEsol geometry; total DFT energy (no corrections) = -138.38 eV for the cell shown; formation energy without anion corrections = 0.156 eV per atom
1.0
5.5620 0.0000 0.0000
0.0000 5.5620 0.0000
0.0000 0.0000 5.5620
Y Cr Te
3 1 1
Direct
0.0000 0.0000 0.5000 Y
0.0000 0.5000 0.0000 Y
0.5000 0.0000 0.0000 Y
0.5000 0.5000 0.5000 Cr
0.0000 0.0000 0.0000 Te

---

Entry 8:
BaTc2Rh | the Alexandria database | SCAN | PBEsol geometry; total DFT energy (no corrections) = -141.63 eV for the cell shown; energy of formation from the pure elements = 454 meV/atom; energy relative to the lowest polymorph listed for this composition = 0.00 eV per formula unit
1.0
3.1097 0.0000 0.0000
0.0000 3.1097 0.0000
0.0000 0.0000 7.8671
Ba Tc Rh
1 2 1
Direct
0.0000 0.0000 0.0000 Ba
0.0000 0.0000 0.5084 Tc
0.5000 0.5000 0.6642 Tc
0.5000 0.5000 0.3094 Rh

---

Entry 9:
HfTaIn3 | the Alexandria database | SCAN | PBEsol geometry; total DFT energy (no corrections) = -221.98 eV for the cell shown; energy of formation from the pure elements = 1487 meV/atom
1.0
5.2599 0.0000 0.0000
0.0000 5.2599 0.0000
0.0000 0.0000 5.2599
Hf Ta In
1 1 3
Direct
0.0000 0.0000 0.0000 Hf
0.5000 0.5000 0.5000 Ta
0.0000 0.0000 0.5000 In
0.0000 0.5000 0.0000 In
0.5000 0.0000 0.0000 In

---

Entry 10:
Be2TcSb | the Alexandria database | SCAN | PBEsol geometry; total DFT energy (no corrections) = -80.56 eV for the cell shown; formation energy without anion corrections = 0.118 eV per atom
1.0
3.2227 0.0000 0.0000
0.0000 3.2227 0.0000
0.0000 0.0000 5.1464
Be Tc Sb
2 1 1
Direct
0.0000 0.0000 0.0000 Be
0.5000 0.5000 0.2021 Be
0.5000 0.5000 0.7636 Tc
0.0000 0.0000 0.4873 Sb

---

Entry 11:
Al2CrAg | the Alexandria database | SCAN | PBEsol geometry; total DFT energy (no corrections) = -66.03 eV for the cell shown; energy of formation from the pure elements = -193 meV/atom; energy relative to the lowest polymorph listed for this composition = 0.00 eV per formula unit
1.0
2.9200 0.0000 0.0000
0.0000 2.9200 0.0000
0.0000 0.0000 6.8545
Al Cr Ag
2 1 1
Direct
0.0000 0.0000 0.2240 Al
0.0000 0.0000 0.7760 Al
0.5000 0.5000 0.0000 Cr
0.5000 0.5000 0.5000 Ag

---

Entry 12:
AlSb2W | the Alexandria database | SCAN | PBEsol geometry; total DFT energy (no corrections) = -148.34 eV for the cell shown; formation energy without anion corrections = 0.905 eV per atom
1.0
0.0000 3.3981 3.3981
3.3981 0.0000 3.3981
3.3981 3.3981 0.0000
Al Sb W
1 2 1
Direct
0.0000 0.0000 0.0000 Al
0.5000 0.5000 0.5000 Sb
0.7500 0.7500 0.7500 Sb
0.2500 0.2500 0.2500 W